A plane-wave DFT calculation with PBE was carried out for a relaxed structure of CsMnN2.

Structure (CIF):
```
data_CsMnN2
_cell_length_a 5.7557
_cell_length_b 5.7557
_cell_length_c 5.7582
_cell_angle_alpha 60.01
_cell_angle_beta 60.01
_cell_angle_gamma 90.00
_symmetry_space_group_name_H-M 'P 1'
_symmetry_Int_Tables_number 1
loop_
_symmetry_equiv_pos_as_xyz
'x,y,z'
loop_
_atom_site_label
_atom_site_type_symbol
_atom_site_fract_x
_atom_site_fract_y
_atom_site_fract_z
_atom_site_occupancy
Cs1 Cs 0.0000 0.0000 0.0000 1
Cs2 Cs 0.7500 0.2500 0.5000 1
Mn1 Mn 0.5000 0.5000 0.0000 1
Mn2 Mn 0.2500 0.7500 0.5000 1
N1 N 0.3750 0.1250 0.2500 1
N2 N 0.3750 0.6250 0.2500 1
N3 N 0.3750 0.6250 0.7500 1
N4 N 0.8750 0.6250 0.7500 1
```

Output
The calculation puts the density at 5.31 g/cm3. The formation energy without anion corrections comes out at -288 meV per atom. Its final energy is -6.96 eV per atom. As for the symmetry: Fd-3m. The calculation puts the calculated volume at 135 Å³/cell.